[1]
{
  "formula": "Be2WBr",
  "functional": "PBE-GGA",
  "state": "relaxed",
  "cell": [[2.926, 0.000, 0.000], [0.000, 2.926, 0.000], [0.000, 0.000, 7.715]],
  "species": ["Be", "Be", "W", "Br"],
  "fractional_positions": [[0.000, 0.000, 0.000], [0.500, 0.500, 0.117], [0.500, 0.500, 0.799], [0.000, 0.000, 0.564]],
  "formation_energy_uncorrected_ev_per_atom": 0.718,
  "sg": "P4mm, No. 99"
}

***

[2]
{
  "formula": "RbTlCd2In4",
  "functional": "PBE-GGA",
  "state": "relaxed",
  "cell": [[2.618, 1.511, 10.906], [-2.618, 1.511, 10.906], [0.000, -3.023, 10.906]],
  "species": ["Rb", "Tl", "Cd", "Cd", "In", "In", "In", "In"],
  "fractional_positions": [[0.000, 0.000, 0.000], [0.500, 0.500, 0.500], [0.234, 0.234, 0.234], [0.766, 0.766, 0.766], [0.124, 0.124, 0.124], [0.406, 0.406, 0.406], [0.594, 0.594, 0.594], [0.876, 0.876, 0.876]],
  "sg": "R-3m, No. 166",
  "formation_enthalpy_0k_kj_per_mol_atoms": -0.7
}

***

[3]
{
  "formula": "Mg2FeBr",
  "functional": "PBE-GGA",
  "state": "relaxed",
  "cell": [[0.000, 3.501, 3.501], [3.501, 0.000, 3.501], [3.501, 3.501, 0.000]],
  "species": ["Mg", "Mg", "Fe", "Br"],
  "fractional_positions": [[0.000, 0.000, 0.000], [0.250, 0.250, 0.250], [0.500, 0.500, 0.500], [0.750, 0.750, 0.750]],
  "formation_energy_uncorrected_ev_per_atom": 0.571,
  "sg": "F-43m, No. 216"
}

***

[4]
{
  "formula": "LiB2C2",
  "functional": "PBE-GGA",
  "state": "relaxed",
  "cell": [[5.364, 0.000, 0.000], [-2.669, 4.702, 0.000], [-1.040, -2.368, 7.291]],
  "species": ["Li", "Li", "Li", "Li", "B", "B", "B", "B", "B", "B", "B", "B", "C", "C", "C", "C", "C", "C", "C", "C"],
  "fractional_positions": [[0.000, 0.000, 0.000], [0.000, 0.500, 0.000], [0.261, 0.243, 0.498], [0.739, 0.757, 0.502], [0.032, 0.694, 0.730], [0.041, 0.207, 0.752], [0.456, 0.288, 0.233], [0.461, 0.797, 0.250], [0.539, 0.203, 0.750], [0.544, 0.712, 0.767], [0.959, 0.793, 0.248], [0.968, 0.306, 0.270], [0.196, 0.024, 0.732], [0.205, 0.534, 0.751], [0.286, 0.956, 0.230], [0.296, 0.466, 0.252], [0.704, 0.534, 0.748], [0.714, 0.044, 0.770], [0.795, 0.466, 0.249], [0.804, 0.976, 0.268]],
  "sg": "P-1, No. 2",
  "formation_enthalpy_0k_kj_per_mol_atoms": -3.2
}